Density functional theory data (PBE) for a relaxed Cs2Tl6Pb crystal.

ΔE to the lowest computed polymorph: 0 meV/atom

Structure (CIF):
```
data_Cs2Tl6Pb
_cell_length_a 12.947
_cell_length_b 6.990
_cell_length_c 7.494
_cell_angle_alpha 90.00
_cell_angle_beta 92.45
_cell_angle_gamma 90.00
_symmetry_space_group_name_H-M 'C 1 2/m 1'
_symmetry_Int_Tables_number 12
loop_
_symmetry_equiv_pos_as_xyz
'x,y,z'
'-x,-y,-z'
'-x,y,-z'
'x,-y,z'
'x+1/2,y+1/2,z'
'-x+1/2,-y+1/2,-z'
'-x+1/2,y+1/2,-z'
'x+1/2,-y+1/2,z'
loop_
_atom_site_label
_atom_site_fract_x
_atom_site_fract_y
_atom_site_fract_z
Cs1 0.172 0.000 0.130
Tl1 0.077 0.236 0.668
Tl2 0.179 0.500 0.364
Pb1 0.000 0.500 0.000
```

---

Density functional theory data (PBE) for a relaxed CsTlPb2 crystal.

ΔE to the lowest computed polymorph: 0 meV/atom

Structure (CIF):
```
data_CsTlPb2
_cell_length_a 8.645
_cell_length_b 5.230
_cell_length_c 14.089
_cell_angle_alpha 90.00
_cell_angle_beta 90.00
_cell_angle_gamma 90.00
_symmetry_space_group_name_H-M 'P n m a'
_symmetry_Int_Tables_number 62
loop_
_symmetry_equiv_pos_as_xyz
'x,y,z'
'-x,-y,-z'
'-x+1/2,-y,z+1/2'
'x+1/2,y,-z+1/2'
'x+1/2,-y+1/2,-z+1/2'
'-x+1/2,y+1/2,z+1/2'
'-x,y+1/2,-z'
'x,-y+1/2,z'
loop_
_atom_site_label
_atom_site_fract_x
_atom_site_fract_y
_atom_site_fract_z
Cs1 0.245 0.250 0.184
Tl1 0.053 0.750 0.404
Pb1 0.073 0.250 0.864
Pb2 0.198 0.750 0.975
```

---

Density functional theory data (PBE) for a relaxed Cs2Tl2Pb crystal.

ΔE to the lowest computed polymorph: 74 meV/atom

Structure (CIF):
```
data_Cs2Tl2Pb
_cell_length_a 11.834
_cell_length_b 8.852
_cell_length_c 9.881
_cell_angle_alpha 90.00
_cell_angle_beta 90.00
_cell_angle_gamma 90.00
_symmetry_space_group_name_H-M 'C m c m'
_symmetry_Int_Tables_number 63
_symmetry_space_group_name_Hall '-C 2c 2'
loop_
_atom_site_label
_atom_site_fract_x
_atom_site_fract_y
_atom_site_fract_z
Cs1 0.185 0.000 0.000
Tl1 0.000 0.355 0.095
Pb1 0.000 0.329 0.750
```

---

Density functional theory data (PBE) for a relaxed Cs2TlPb7 crystal.

Structure (CIF):
```
data_Cs2TlPb7
_cell_length_a 5.312
_cell_length_b 5.312
_cell_length_c 14.012
_cell_angle_alpha 90.00
_cell_angle_beta 90.00
_cell_angle_gamma 90.00
_symmetry_space_group_name_H-M 'P -4 m 2'
_symmetry_Int_Tables_number 115
loop_
_symmetry_equiv_pos_as_xyz
'x,y,z'
'y,-x,-z'
'-x,-y,z'
'-y,x,-z'
'-x,y,z'
'-y,-x,-z'
'x,-y,z'
'y,x,-z'
loop_
_atom_site_label
_atom_site_fract_x
_atom_site_fract_y
_atom_site_fract_z
Cs1 0.000 0.500 0.249
Tl1 0.500 0.500 0.000
Pb1 0.000 0.000 0.000
Pb2 0.000 0.000 0.500
Pb3 0.000 0.500 0.632
Pb4 0.000 0.500 0.869
Pb5 0.500 0.500 0.500
```

---

Density functional theory data (PBE) for a relaxed Cs2Tl16Pb crystal.

Structure (CIF):
```
data_Cs2Tl16Pb
_cell_length_a 11.5710
_cell_length_b 11.5710
_cell_length_c 17.0752
_cell_angle_alpha 90.00
_cell_angle_beta 90.00
_cell_angle_gamma 120.00
_symmetry_space_group_name_H-M 'R 3 m'
_symmetry_Int_Tables_number 160
_symmetry_space_group_name_Hall 'R 3 -2"'
loop_
_atom_site_label
_atom_site_fract_x
_atom_site_fract_y
_atom_site_fract_z
Cs1 0.0000 0.0000 0.0000
Cs2 0.0000 0.0000 0.3194
Tl1 0.0000 0.0000 0.7589
Tl2 0.9997 0.2905 0.6591
Tl3 0.1671 0.3341 0.4933
Tl4 0.1679 0.3358 0.1419
Tl5 0.1684 0.3369 0.8434
Pb1 0.0000 0.0000 0.5641
```

---

Density functional theory data (PBE) for a relaxed CsTl6Pb crystal.

ΔE to the lowest computed polymorph: 22 meV/atom

Structure (CIF):
```
data_CsTl6Pb
_cell_length_a 5.629
_cell_length_b 5.629
_cell_length_c 9.439
_cell_angle_alpha 90.00
_cell_angle_beta 90.00
_cell_angle_gamma 90.00
_symmetry_space_group_name_H-M 'P 4/m m m'
_symmetry_Int_Tables_number 123
_symmetry_space_group_name_Hall '-P 4 2'
loop_
_atom_site_label
_atom_site_fract_x
_atom_site_fract_y
_atom_site_fract_z
Cs1 0.000 0.000 0.000
Tl1 0.000 0.500 0.321
Tl2 0.500 0.500 0.161
Pb1 0.000 0.000 0.500
```

---

Density functional theory data (PBE) for a relaxed Cs3Tl4Pb2 crystal.

Structure (CIF):
```
data_Cs3Tl4Pb2
_cell_length_a 5.266
_cell_length_b 7.814
_cell_length_c 10.962
_cell_angle_alpha 103.45
_cell_angle_beta 90.03
_cell_angle_gamma 109.68
_symmetry_space_group_name_H-M 'P -1'
_symmetry_Int_Tables_number 2
loop_
_symmetry_equiv_pos_as_xyz
'x,y,z'
'-x,-y,-z'
loop_
_atom_site_label
_atom_site_fract_x
_atom_site_fract_y
_atom_site_fract_z
Cs1 0.000 0.000 0.000
Cs2 0.381 0.760 0.613
Tl1 0.089 0.177 0.678
Tl2 0.302 0.603 0.933
Pb1 0.296 0.594 0.232
```

---

Density functional theory data (PBE) for a relaxed Cs2Tl2Pb3 crystal.

Structure (CIF):
```
data_Cs2Tl2Pb3
_cell_length_a 13.973
_cell_length_b 5.357
_cell_length_c 8.550
_cell_angle_alpha 90.00
_cell_angle_beta 118.73
_cell_angle_gamma 90.00
_symmetry_space_group_name_H-M 'C 1 2/m 1'
_symmetry_Int_Tables_number 12
loop_
_symmetry_equiv_pos_as_xyz
'x,y,z'
'-x,-y,-z'
'-x,y,-z'
'x,-y,z'
'x+1/2,y+1/2,z'
'-x+1/2,-y+1/2,-z'
'-x+1/2,y+1/2,-z'
'x+1/2,-y+1/2,z'
loop_
_atom_site_label
_atom_site_fract_x
_atom_site_fract_y
_atom_site_fract_z
Cs1 0.158 0.000 0.297
Tl1 0.151 0.000 0.772
Pb1 0.000 0.500 0.500
Pb2 0.088 0.500 0.926
```

---

Density functional theory data (PBE) for a relaxed CsTl6Pb crystal.

ΔE to the lowest computed polymorph: 0 meV/atom

Structure (CIF):
```
data_CsTl6Pb
_cell_length_a 5.6241
_cell_length_b 5.6241
_cell_length_c 32.4090
_cell_angle_alpha 90.00
_cell_angle_beta 90.00
_cell_angle_gamma 120.00
_symmetry_space_group_name_H-M 'R -3 m'
_symmetry_Int_Tables_number 166
_symmetry_space_group_name_Hall '-R 3 2"'
loop_
_atom_site_label
_atom_site_fract_x
_atom_site_fract_y
_atom_site_fract_z
Cs1 0.0000 0.0000 0.0000
Tl1 0.0000 0.0000 0.1324
Tl2 0.0000 0.0000 0.2359
Tl3 0.0000 0.0000 0.4031
Pb1 0.0000 0.0000 0.5000
```

---

Density functional theory data (PBE) for a relaxed CsTl2Pb2 crystal.

ΔE to the lowest computed polymorph: 36 meV/atom

Structure (CIF):
```
data_CsTl2Pb2
_cell_length_a 10.000
_cell_length_b 10.000
_cell_length_c 3.655
_cell_angle_alpha 90.00
_cell_angle_beta 90.00
_cell_angle_gamma 90.00
_symmetry_space_group_name_H-M 'P 4/m b m'
_symmetry_Int_Tables_number 127
_symmetry_space_group_name_Hall '-P 4 2ab'
loop_
_atom_site_label
_atom_site_fract_x
_atom_site_fract_y
_atom_site_fract_z
Cs1 0.000 0.000 0.000
Tl1 0.161 0.339 0.500
Pb1 0.122 0.622 0.000
```

---

Density functional theory data (PBE) for a relaxed Cs2TlPb3 crystal.

Structure (CIF):
```
data_Cs2TlPb3
_cell_length_a 11.871
_cell_length_b 6.917
_cell_length_c 6.900
_cell_angle_alpha 90.00
_cell_angle_beta 124.03
_cell_angle_gamma 90.00
_symmetry_space_group_name_H-M 'C 1 2/m 1'
_symmetry_Int_Tables_number 12
loop_
_symmetry_equiv_pos_as_xyz
'x,y,z'
'-x,-y,-z'
'-x,y,-z'
'x,-y,z'
'x+1/2,y+1/2,z'
'-x+1/2,-y+1/2,-z'
'-x+1/2,y+1/2,-z'
'x+1/2,-y+1/2,z'
loop_
_atom_site_label
_atom_site_fract_x
_atom_site_fract_y
_atom_site_fract_z
Cs1 0.125 0.000 0.376
Tl1 0.000 0.500 0.000
Pb1 0.000 0.500 0.500
Pb2 0.250 0.250 0.000
```

---

Density functional theory data (PBE) for a relaxed CsTl3Pb3 crystal.

ΔE to the lowest computed polymorph: 0 meV/atom

Structure (CIF):
```
data_CsTl3Pb3
_cell_length_a 10.1084
_cell_length_b 10.1084
_cell_length_c 6.1195
_cell_angle_alpha 90.00
_cell_angle_beta 90.00
_cell_angle_gamma 120.00
_symmetry_space_group_name_H-M 'P 63/m'
_symmetry_Int_Tables_number 176
_symmetry_space_group_name_Hall '-P 6c'
loop_
_atom_site_label
_atom_site_fract_x
_atom_site_fract_y
_atom_site_fract_z
Cs1 0.3333 0.6667 0.2500
Tl1 0.0971 0.6885 0.7500
Pb1 0.0492 0.8371 0.2500
```

---

Density functional theory data (PBE) for a relaxed Cs2Tl6Pb crystal.

ΔE to the lowest computed polymorph: 42 meV/atom

Structure (CIF):
```
data_Cs2Tl6Pb
_cell_length_a 10.2322
_cell_length_b 10.2322
_cell_length_c 3.6883
_cell_angle_alpha 90.00
_cell_angle_beta 90.00
_cell_angle_gamma 120.00
_symmetry_space_group_name_H-M 'P 6/m m m'
_symmetry_Int_Tables_number 191
_symmetry_space_group_name_Hall '-P 6 2'
loop_
_atom_site_label
_atom_site_fract_x
_atom_site_fract_y
_atom_site_fract_z
Cs1 0.3333 0.6667 0.0000
Tl1 0.0000 0.3045 0.5000
Pb1 0.0000 0.0000 0.0000
```

---

Density functional theory data (PBE) for a relaxed Cs4TlPb4 crystal.

Structure (CIF):
```
data_Cs4TlPb4
_cell_length_a 7.665
_cell_length_b 7.665
_cell_length_c 16.833
_cell_angle_alpha 90.00
_cell_angle_beta 90.00
_cell_angle_gamma 90.00
_symmetry_space_group_name_H-M 'I -4 2 m'
_symmetry_Int_Tables_number 121
_symmetry_space_group_name_Hall 'I -4 2'
loop_
_atom_site_label
_atom_site_fract_x
_atom_site_fract_y
_atom_site_fract_z
Cs1 0.180 0.180 0.384
Tl1 0.000 0.000 0.000
Pb1 0.145 0.145 0.157
```

---

Density functional theory data (PBE) for a relaxed Cs3Tl8Pb crystal.

ΔE to the lowest computed polymorph: 12 meV/atom

Structure (CIF):
```
data_Cs3Tl8Pb
_cell_length_a 6.9101
_cell_length_b 6.9101
_cell_length_c 32.8322
_cell_angle_alpha 90.00
_cell_angle_beta 90.00
_cell_angle_gamma 120.00
_symmetry_space_group_name_H-M 'R 3 m'
_symmetry_Int_Tables_number 160
_symmetry_space_group_name_Hall 'R 3 -2"'
loop_
_atom_site_label
_atom_site_fract_x
_atom_site_fract_y
_atom_site_fract_z
Cs1 0.0000 0.0000 0.0000
Cs2 0.0000 0.0000 0.1247
Cs3 0.0000 0.0000 0.6201
Tl1 0.0000 0.0000 0.3140
Tl2 0.0000 0.0000 0.8120
Tl3 0.0057 0.5028 0.0656
Tl4 0.1672 0.3345 0.8921
Pb1 0.0000 0.0000 0.4906
```

---

Density functional theory data (PBE) for a relaxed Cs16TlPb12 crystal.

Structure (CIF):
```
data_Cs16TlPb12
_cell_length_a 14.319
_cell_length_b 19.894
_cell_length_c 11.884
_cell_angle_alpha 90.00
_cell_angle_beta 121.61
_cell_angle_gamma 90.00
_symmetry_space_group_name_H-M 'C 1 m 1'
_symmetry_Int_Tables_number 8
loop_
_symmetry_equiv_pos_as_xyz
'x,y,z'
'x,-y,z'
'x+1/2,y+1/2,z'
'x+1/2,-y+1/2,z'
loop_
_atom_site_label
_atom_site_fract_x
_atom_site_fract_y
_atom_site_fract_z
Cs1 0.000 0.000 0.000
Cs2 0.007 0.293 0.731
Cs3 0.010 0.000 0.325
Cs4 0.097 0.363 0.451
Cs5 0.152 0.153 0.559
Cs6 0.164 0.500 0.735
Cs7 0.174 0.155 0.010
Cs8 0.220 0.500 0.270
Cs9 0.290 0.273 0.320
Cs10 0.429 0.111 0.975
Tl1 0.364 0.000 0.648
Pb1 0.135 0.000 0.764
Pb2 0.270 0.380 0.034
Pb3 0.292 0.079 0.377
Pb4 0.333 0.317 0.838
Pb5 0.383 0.000 0.226
Pb6 0.413 0.418 0.644
Pb7 0.482 0.300 0.152
```

---

Density functional theory data (PBE) for a relaxed CsTl2Pb2 crystal.

ΔE to the lowest computed polymorph: 0 meV/atom

Structure (CIF):
```
data_CsTl2Pb2
_cell_length_a 4.963
_cell_length_b 4.963
_cell_length_c 15.737
_cell_angle_alpha 90.00
_cell_angle_beta 90.00
_cell_angle_gamma 90.00
_symmetry_space_group_name_H-M 'I 4/m m m'
_symmetry_Int_Tables_number 139
_symmetry_space_group_name_Hall '-I 4 2'
loop_
_atom_site_label
_atom_site_fract_x
_atom_site_fract_y
_atom_site_fract_z
Cs1 0.000 0.000 0.000
Tl1 0.000 0.000 0.387
Pb1 0.000 0.500 0.250
```

---

Density functional theory data (PBE) for a relaxed CsTl2Pb6 crystal.

ΔE to the lowest computed polymorph: 93 meV/atom

Structure (CIF):
```
data_CsTl2Pb6
_cell_length_a 5.598
_cell_length_b 9.006
_cell_length_c 14.348
_cell_angle_alpha 90.00
_cell_angle_beta 90.00
_cell_angle_gamma 90.00
_symmetry_space_group_name_H-M 'I m m m'
_symmetry_Int_Tables_number 71
_symmetry_space_group_name_Hall '-I 2 2'
loop_
_atom_site_label
_atom_site_fract_x
_atom_site_fract_y
_atom_site_fract_z
Cs1 0.000 0.000 0.000
Tl1 0.000 0.500 0.120
Pb1 0.000 0.170 0.500
Pb2 0.000 0.179 0.275
```

---

Density functional theory data (PBE) for a relaxed Cs2Tl2Pb15 crystal.

Structure (CIF):
```
data_Cs2Tl2Pb15
_cell_length_a 11.6437
_cell_length_b 11.6437
_cell_length_c 17.2170
_cell_angle_alpha 90.00
_cell_angle_beta 90.00
_cell_angle_gamma 120.00
_symmetry_space_group_name_H-M 'R -3 m'
_symmetry_Int_Tables_number 166
_symmetry_space_group_name_Hall '-R 3 2"'
loop_
_atom_site_label
_atom_site_fract_x
_atom_site_fract_y
_atom_site_fract_z
Cs1 0.0000 0.0000 0.1598
Tl1 0.0000 0.0000 0.4005
Pb1 0.0000 0.2940 0.5000
Pb2 0.0000 0.5000 0.0000
Pb3 0.0027 0.5013 0.6529
```

---

Density functional theory data (PBE) for a relaxed Cs2Tl5Pb3 crystal.

Structure (CIF):
```
data_Cs2Tl5Pb3
_cell_length_a 12.949
_cell_length_b 15.551
_cell_length_c 7.692
_cell_angle_alpha 90.00
_cell_angle_beta 90.00
_cell_angle_gamma 90.00
_symmetry_space_group_name_H-M 'I b a m'
_symmetry_Int_Tables_number 72
_symmetry_space_group_name_Hall '-I 2 2c'
loop_
_atom_site_label
_atom_site_fract_x
_atom_site_fract_y
_atom_site_fract_z
Cs1 0.250 0.125 0.000
Tl1 0.000 0.000 0.250
Tl2 0.000 0.247 0.250
Tl3 0.127 0.376 0.000
Pb1 0.000 0.500 0.250
Pb2 0.132 0.125 0.500
```

---

Asked for DOS(E_F) across the records above, the calculation gives 10.55; 5.04; 12.33; 4.95; 29.13; 3.57; 5.28; 10.94; 16.56; 5.05; 7.57; 5.41; 7.46; 21.17; 22.28; 28.32; 4.74; 11.32; 29.47; 22.78 states/eV per cell in order.
Asked for DFT formation energy across the records above, the calculation gives -72; -99; -75; -105; -36; -2; -100; -87; -25; -55; -100; -28; -30; 83; -24; -130; -90; 50; -47; -72 meV per atom in order.